# 1
This record from Alexandria describes a geometry-optimized Dy2ScHg2 structure. The functional is PBE-GGA.

Properties
The value obtained for the energy above the most stable polymorph in this dataset is 0.266 eV per formula unit. As for the volume: 265 Å³/cell. The formation energy comes out at -27.9 kJ/mol of atoms. Its crystal system is orthorhombic. For the magnetic moment, the calculation gives 0.00 μB per formula unit. Its space group is Immm.

Lattice parameters (Å, degrees): 3.9756 6.9910 9.5442 90.00 90.00 90.00
With the nearest neighbours (Å) after each atom.
Atoms (fractional coordinates):
1 Dy 0.0000 0.0000 0.2100  6 Hg 3.19-3.42, 2 Sc 3.41
2 Dy 0.0000 0.0000 0.7900  6 Hg 3.19-3.42, 2 Sc 3.41
3 Dy 0.5000 0.5000 0.2900  6 Hg 3.19-3.42, 2 Sc 3.41
4 Dy 0.5000 0.5000 0.7100  6 Hg 3.19-3.42, 2 Sc 3.41
5 Sc 0.0000 0.5000 0.0000  4 Hg 2.83
6 Sc 0.5000 0.0000 0.5000  4 Hg 2.83
7 Hg 0.0000 0.2878 0.5000  2 Sc 2.83, 1 Hg 2.97
8 Hg 0.0000 0.7122 0.5000  2 Sc 2.83, 1 Hg 2.97
9 Hg 0.5000 0.2122 0.0000  2 Sc 2.83, 1 Hg 2.97
10 Hg 0.5000 0.7878 0.0000  2 Sc 2.83, 1 Hg 2.97



# 2
This record from Alexandria describes a geometry-optimized DyScHg4 structure. The functional is PBE-GGA.

Properties
The value obtained for the energy above the most stable polymorph in this dataset is 0.195 eV per formula unit. As for the volume: 282 Å³/cell. The formation energy comes out at -28.9 kJ/mol of atoms. Its crystal system is monoclinic. For the magnetic moment, the calculation gives 0.50 μB per formula unit. Its space group is C2/m.

Lattice parameters (Å, degrees): 12.1008 3.4718 7.0074 90.00 106.77 90.00
With the nearest neighbours (Å) after each atom.
Atoms (fractional coordinates):
1 Dy 0.0000 0.0000 0.0000  8 Hg 3.14-3.17, 2 Dy 3.47, 2 Sc 3.50
2 Dy 0.5000 0.5000 0.0000  8 Hg 3.14-3.17, 2 Dy 3.47, 2 Sc 3.50
3 Sc 0.0000 0.0000 0.5000  8 Hg 3.05-3.09
4 Sc 0.5000 0.5000 0.5000  8 Hg 3.05-3.09
5 Hg 0.1616 0.5000 0.3418  2 Sc 3.05, 5 Hg 3.13-3.36, 2 Dy 3.14
6 Hg 0.1665 0.5000 0.8235  2 Sc 3.09, 2 Dy 3.17, 5 Hg 3.17-3.36
7 Hg 0.3335 0.0000 0.1765  2 Sc 3.09, 2 Dy 3.17, 5 Hg 3.17-3.36
8 Hg 0.3384 0.0000 0.6582  2 Sc 3.05, 5 Hg 3.13-3.36, 2 Dy 3.14
9 Hg 0.6616 0.0000 0.3418  2 Sc 3.05, 5 Hg 3.13-3.36, 2 Dy 3.14
10 Hg 0.6665 0.0000 0.8235  2 Sc 3.09, 2 Dy 3.17, 5 Hg 3.17-3.36
11 Hg 0.8335 0.5000 0.1765  2 Sc 3.09, 2 Dy 3.17, 5 Hg 3.17-3.36
12 Hg 0.8384 0.5000 0.6582  2 Sc 3.05, 5 Hg 3.13-3.36, 2 Dy 3.14



# 3
This record from Alexandria describes a geometry-optimized Dy6Sc2Hg structure. The functional is PBE-GGA.

Properties
As for the volume: 520 Å³/cell. The formation energy comes out at -2.6 kJ/mol of atoms. Its crystal system is tetragonal. For the magnetic moment, the calculation gives 0.00 μB per formula unit. Its space group is P4_2/mnm.

Lattice parameters (Å, degrees): 9.9986 9.9986 5.2048 90.00 90.00 90.00
With the nearest neighbours (Å) after each atom.
Atoms (fractional coordinates):
1 Dy 0.0351 0.3191 0.0000  1 Hg 3.21, 3 Sc 3.27-3.32, 1 Dy 3.40
2 Dy 0.1291 0.8709 0.5000  2 Hg 3.18, 2 Dy 3.40, 4 Sc 3.46-3.48
3 Dy 0.1809 0.5351 0.5000  1 Hg 3.21, 3 Sc 3.27-3.32, 1 Dy 3.40
4 Dy 0.3191 0.0351 0.0000  1 Hg 3.21, 3 Sc 3.27-3.32, 1 Dy 3.40
5 Dy 0.3709 0.3709 0.0000  2 Hg 3.18, 2 Dy 3.40, 4 Sc 3.46-3.48
6 Dy 0.4649 0.8191 0.5000  1 Hg 3.21, 3 Sc 3.27-3.32, 1 Dy 3.40
7 Dy 0.5351 0.1809 0.5000  1 Hg 3.21, 3 Sc 3.27-3.32, 1 Dy 3.40
8 Dy 0.6291 0.6291 0.0000  2 Hg 3.18, 2 Dy 3.40, 4 Sc 3.46-3.48
9 Dy 0.6809 0.9649 0.0000  1 Hg 3.21, 3 Sc 3.27-3.32, 1 Dy 3.40
10 Dy 0.8191 0.4649 0.5000  1 Hg 3.21, 3 Sc 3.27-3.32, 1 Dy 3.40
11 Dy 0.8709 0.1291 0.5000  2 Hg 3.18, 2 Dy 3.40, 4 Sc 3.46-3.48
12 Dy 0.9649 0.6809 0.0000  1 Hg 3.21, 3 Sc 3.27-3.32, 1 Dy 3.40
13 Sc 0.2091 0.2091 0.5000  10 Dy 3.27-3.48
14 Sc 0.2909 0.7091 0.0000  10 Dy 3.27-3.48
15 Sc 0.7091 0.2909 0.0000  10 Dy 3.27-3.48
16 Sc 0.7909 0.7909 0.5000  10 Dy 3.27-3.48
17 Hg 0.0000 0.0000 0.0000  8 Dy 3.18-3.21
18 Hg 0.5000 0.5000 0.5000  8 Dy 3.18-3.21



# 4
This record from Alexandria describes a geometry-optimized DyScHg structure. The functional is PBE-GGA.

Properties
The value obtained for the energy above the most stable polymorph in this dataset is 0.000 eV per formula unit. As for the volume: 150 Å³/cell. The formation energy comes out at -29.2 kJ/mol of atoms. Its crystal system is hexagonal. For the magnetic moment, the calculation gives 0.00 μB per formula unit. Its space group is P6_3/mmc.

Lattice parameters (Å, degrees): 5.0219 5.0219 6.8807 90.00 90.00 120.00
With the nearest neighbours (Å) after each atom.
Atoms (fractional coordinates):
1 Dy 0.0000 0.0000 0.0000  6 Hg 3.37, 6 Sc 3.37, 2 Dy 3.44
2 Dy 0.0000 0.0000 0.5000  6 Hg 3.37, 6 Sc 3.37, 2 Dy 3.44
3 Sc 0.3333 0.6667 0.2500  3 Hg 2.90
4 Sc 0.6667 0.3333 0.7500  3 Hg 2.90
5 Hg 0.3333 0.6667 0.7500  3 Sc 2.90
6 Hg 0.6667 0.3333 0.2500  3 Sc 2.90



# 5
This record from Alexandria describes a geometry-optimized DyScHg structure. The functional is PBE-GGA.

Properties
The value obtained for the energy above the most stable polymorph in this dataset is 0.650 eV per formula unit. As for the volume: 172 Å³/cell. The formation energy comes out at -8.3 kJ/mol of atoms. Its crystal system is trigonal. For the magnetic moment, the calculation gives 0.00 μB per formula unit. Its space group is R-3m.

Lattice parameters (Å, degrees): 8.6284 8.6284 8.6284 33.24 33.24 33.24
With the nearest neighbours (Å) after each atom.
Atoms (fractional coordinates):
1 Dy 0.1215 0.1215 0.1215  4 Hg 3.03-3.23
2 Dy 0.8785 0.8785 0.8785  4 Hg 3.03-3.23
3 Sc 0.3712 0.3712 0.3712  4 Hg 2.87-3.03
4 Sc 0.6288 0.6288 0.6288  4 Hg 2.87-3.03
5 Hg 0.2538 0.2538 0.2538  4 Sc 2.87-3.03, 3 Dy 3.03
6 Hg 0.7462 0.7462 0.7462  4 Sc 2.87-3.03, 3 Dy 3.03



# 6
This record from Alexandria describes a geometry-optimized DySc5Hg6 structure. The functional is PBE-GGA.

Properties
As for the volume: 270 Å³/cell. The formation energy comes out at -41.5 kJ/mol of atoms. Its crystal system is monoclinic. For the magnetic moment, the calculation gives 0.43 μB per formula unit. Its space group is C2/m.

Lattice parameters (Å, degrees): 8.6807 8.6807 4.9988 106.50 106.50 48.96
With the nearest neighbours (Å) after each atom.
Atoms (fractional coordinates):
1 Dy 0.0000 0.0000 0.0000  8 Hg 3.14-3.16, 2 Sc 3.51
2 Sc 0.1646 0.1646 0.6646  8 Hg 3.03-3.12
3 Sc 0.3315 0.3315 0.3314  8 Hg 3.04-3.05
4 Sc 0.5000 0.5000 0.0000  8 Hg 3.02-3.10
5 Sc 0.6685 0.6685 0.6686  8 Hg 3.04-3.05
6 Sc 0.8354 0.8354 0.3354  8 Hg 3.03-3.12
7 Hg 0.0873 0.5720 0.8296  7 Sc 3.03-3.11, 1 Dy 3.16
8 Hg 0.2650 0.7350 0.5000  6 Sc 3.02-3.12, 2 Dy 3.14
9 Hg 0.4280 0.9127 0.1704  7 Sc 3.03-3.11, 1 Dy 3.16
10 Hg 0.5720 0.0873 0.8296  7 Sc 3.03-3.11, 1 Dy 3.16
11 Hg 0.7350 0.2650 0.5000  6 Sc 3.02-3.12, 2 Dy 3.14
12 Hg 0.9127 0.4280 0.1704  7 Sc 3.03-3.11, 1 Dy 3.16



# 7
This record from Alexandria describes a geometry-optimized DySc2Hg6 structure. The functional is PBE-GGA.

Properties
As for the volume: 210 Å³/cell. The formation energy comes out at -27.8 kJ/mol of atoms. Its crystal system is monoclinic. For the magnetic moment, the calculation gives 0.00 μB per formula unit. Its space group is C2/m.

Lattice parameters (Å, degrees): 9.0035 9.0035 5.2901 98.26 98.26 145.81
With the nearest neighbours (Å) after each atom.
Atoms (fractional coordinates):
1 Dy 0.0000 0.0000 0.0000  10 Hg 3.05-3.28
2 Sc 0.1705 0.8295 0.5000  10 Hg 3.04-3.31
3 Sc 0.8295 0.1705 0.5000  10 Hg 3.04-3.31
4 Hg 0.1669 0.5030 0.1687  4 Sc 3.04-3.17, 5 Hg 3.05-3.28, 1 Dy 3.28
5 Hg 0.3314 0.3314 0.6645  5 Hg 3.04-3.28, 3 Dy 3.05-3.09, 2 Sc 3.31
6 Hg 0.4970 0.8331 0.8313  4 Sc 3.04-3.17, 5 Hg 3.05-3.28, 1 Dy 3.28
7 Hg 0.5030 0.1669 0.1687  4 Sc 3.04-3.17, 5 Hg 3.05-3.28, 1 Dy 3.28
8 Hg 0.6686 0.6686 0.3355  5 Hg 3.04-3.28, 3 Dy 3.05-3.09, 2 Sc 3.31
9 Hg 0.8331 0.4970 0.8313  4 Sc 3.04-3.17, 5 Hg 3.05-3.28, 1 Dy 3.28



# 8
This record from Alexandria describes a geometry-optimized Dy6ScHg5 structure. The functional is PBE-GGA.

Properties
As for the volume: 314 Å³/cell. The formation energy comes out at -35.3 kJ/mol of atoms. Its crystal system is orthorhombic. For the magnetic moment, the calculation gives 1.40 μB per formula unit. Its space group is Immm.

Lattice parameters (Å, degrees): 9.1685 9.1685 9.1685 147.35 130.44 60.62
With the nearest neighbours (Å) after each atom.
Atoms (fractional coordinates):
1 Dy 0.0780 0.3298 0.7482  7 Hg 3.20-3.48, 1 Sc 3.32
2 Dy 0.2319 0.0000 0.2319  6 Hg 3.10-3.22, 2 Sc 3.30
3 Dy 0.4183 0.6702 0.7482  7 Hg 3.20-3.48, 1 Sc 3.32
4 Dy 0.5817 0.3298 0.2518  7 Hg 3.20-3.48, 1 Sc 3.32
5 Dy 0.7681 0.0000 0.7681  6 Hg 3.10-3.22, 2 Sc 3.30
6 Dy 0.9220 0.6702 0.2518  7 Hg 3.20-3.48, 1 Sc 3.32
7 Sc 0.5000 0.5000 0.0000  8 Dy 3.30-3.32, 4 Hg 3.46
8 Hg 0.0000 0.5000 0.5000  8 Dy 3.13-3.30
9 Hg 0.1692 0.1692 0.0000  8 Dy 3.20-3.22
10 Hg 0.3538 0.8538 0.5000  6 Dy 3.10-3.25, 2 Sc 3.46
11 Hg 0.6462 0.1462 0.5000  6 Dy 3.10-3.25, 2 Sc 3.46
12 Hg 0.8308 0.8308 0.0000  8 Dy 3.20-3.22